# Ba2SmHg3

A relaxed structure of Ba2SmHg3 (PBE, Alexandria).

Calculated values
Energy of formation from the pure elements   -11.2 kcal/mol of atoms
Magnetization   0.0 Bohr magnetons per cell
Final energy   -2.06 eV per atom

Lattice parameters (Å, degrees): 4.020 4.020 12.362 90.00 90.00 90.00
Fractional coordinates of all 6 atoms:
Ba1 0.500 0.500 0.179
Hg1 0.000 0.000 0.364
Hg2 0.000 0.000 0.636
Sm1 0.500 0.500 0.500
Ba2 0.500 0.500 0.821
Hg3 0.000 0.000 0.000

***

# BaSmHg2

A relaxed structure of BaSmHg2 (PBE, Alexandria).

Calculated values
Energy of formation from the pure elements   -11.0 kcal/mol of atoms
Magnetization   0.0 Bohr magnetons per cell
Final energy   -2.29 eV per atom

Lattice parameters (Å, degrees): 3.947 3.947 8.130 90.00 90.00 90.00
Fractional coordinates of all 4 atoms:
Ba1 0.500 0.500 0.500
Hg1 0.000 0.000 0.209
Hg2 0.000 0.000 0.791
Sm1 0.500 0.500 0.000

***

# BaSm2Hg2

A relaxed structure of BaSm2Hg2 (PBE, Alexandria).

Calculated values
Energy of formation from the pure elements   -6.5 kcal/mol of atoms
Magnetization   0.0 Bohr magnetons per cell
Final energy   -2.67 eV per atom

Lattice parameters (Å, degrees): 3.924 4.010 10.895 79.40 90.00 90.00
Fractional coordinates of all 5 atoms:
Ba1 0.000 0.000 0.000
Hg1 0.500 0.388 0.224
Hg2 0.500 0.612 0.776
Sm1 0.000 0.180 0.639
Sm2 0.000 0.820 0.361

***

# BaSmSn2Hg2

A relaxed structure of BaSmSn2Hg2 (PBE, Alexandria).

Calculated values
Energy of formation from the pure elements   -12.7 kcal/mol of atoms
Magnetization   0.0 Bohr magnetons per cell
Final energy   -3.09 eV per atom

Lattice parameters (Å, degrees): 4.931 4.931 8.780 90.00 90.00 120.00
Fractional coordinates of all 6 atoms:
Sm1 0.000 0.000 0.500
Hg1 0.333 0.667 0.668
Ba1 0.000 0.000 0.000
Sn1 0.333 0.667 0.258
Sn2 0.667 0.333 0.742
Hg2 0.667 0.333 0.332

***

# BaSm2Sn2Hg2

A relaxed structure of BaSm2Sn2Hg2 (PBE, Alexandria).

Calculated values
Energy of formation from the pure elements   -9.5 kcal/mol of atoms
Magnetization   0.0 Bohr magnetons per cell
Final energy   -3.26 eV per atom

Lattice parameters (Å, degrees): 5.156 5.156 10.122 75.25 75.25 60.00
Fractional coordinates of all 7 atoms:
Sn1 0.744 0.744 0.767
Hg1 0.437 0.437 0.688
Sn2 0.256 0.256 0.233
Ba1 0.000 0.000 0.000
Sm1 0.134 0.134 0.598
Hg2 0.563 0.563 0.312
Sm2 0.866 0.866 0.402

***

# BaSmHgTe3

A relaxed structure of BaSmHgTe3 (PBE, Alexandria).

Calculated values
Magnetization   0.0 Bohr magnetons per cell
Final energy   -3.91 eV per atom
Raw formation energy   -1.1776 eV/atom

Lattice parameters (Å, degrees): 4.522 8.953 10.975 105.05 90.00 90.00
Fractional coordinates of all 12 atoms:
Ba1 0.750 0.768 0.714
Ba2 0.250 0.232 0.286
Te1 0.750 0.918 0.167
Te2 0.250 0.082 0.833
Sm1 0.750 0.329 0.833
Hg1 0.750 0.895 0.435
Te3 0.750 0.417 0.130
Hg2 0.250 0.105 0.565
Te4 0.750 0.347 0.550
Sm2 0.250 0.671 0.167
Te5 0.250 0.583 0.870
Te6 0.250 0.653 0.450

***

# Ba2SmHgTe5

A relaxed structure of Ba2SmHgTe5 (PBE, Alexandria).

Calculated values
Magnetization   0.0 Bohr magnetons per cell
Final energy   -3.92 eV per atom
Raw formation energy   -1.1913 eV/atom

Lattice parameters (Å, degrees): 4.608 10.540 14.144 90.00 90.00 102.63
Fractional coordinates of all 18 atoms:
Hg1 0.550 0.101 0.941
Te1 0.355 0.710 0.008
Te2 0.496 0.991 0.761
Te3 0.950 0.900 0.561
Te4 0.693 0.386 0.861
Te5 0.645 0.290 0.508
Te6 0.294 0.588 0.666
Hg2 0.450 0.899 0.441
Te7 0.307 0.614 0.361
Sm1 0.795 0.590 0.515
Ba1 0.129 0.258 0.321
Te8 0.050 0.100 0.061
Ba2 0.881 0.762 0.190
Te9 0.706 0.412 0.166
Ba3 0.119 0.238 0.690
Te10 0.504 0.009 0.261
Sm2 0.205 0.410 0.015
Ba4 0.871 0.742 0.821

***

# Ba2Sn2Hg

A relaxed structure of Ba2Sn2Hg (PBE, Alexandria).

Calculated values
Energy relative to the lowest polymorph listed for this composition   1.27 eV/f.u.
Energy of formation from the pure elements   -8.4 kcal/mol of atoms
Magnetization   0.0 Bohr magnetons per cell
Final energy   -2.79 eV per atom

Lattice parameters (Å, degrees): 4.301 4.301 10.710 78.42 78.42 90.00
Fractional coordinates of all 5 atoms:
Ba1 0.398 0.398 0.205
Sn1 0.750 0.250 0.500
Ba2 0.602 0.602 0.795
Hg1 0.000 0.000 0.000
Sn2 0.250 0.750 0.500

***

# Ba3SnHg

A relaxed structure of Ba3SnHg (PBE, Alexandria).

Calculated values
Energy relative to the lowest polymorph listed for this composition   0.00 eV/f.u.
Energy of formation from the pure elements   -11.7 kcal/mol of atoms
Magnetization   0.0 Bohr magnetons per cell
Final energy   -2.52 eV per atom

Lattice parameters (Å, degrees): 6.036 6.030 12.417 90.00 75.93 90.00
Fractional coordinates of all 10 atoms:
Ba1 0.903 0.750 0.843
Ba2 0.245 0.750 0.158
Ba3 0.575 0.250 0.499
Sn1 0.663 0.750 0.322
Ba4 0.746 0.250 0.157
Sn2 0.985 0.250 0.678
Hg1 0.168 0.250 0.313
Hg2 0.481 0.750 0.687
Ba5 0.403 0.250 0.842
Ba6 0.074 0.750 0.501

***

# BaSnHg2

A relaxed structure of BaSnHg2 (PBE, Alexandria).

Calculated values
Energy of formation from the pure elements   -6.5 kcal/mol of atoms
Magnetization   0.0 Bohr magnetons per cell
Final energy   -1.92 eV per atom

Lattice parameters (Å, degrees): 5.248 5.248 11.132 76.37 76.37 90.00
Fractional coordinates of all 8 atoms:
Ba1 0.000 0.000 0.000
Sn1 0.250 0.750 0.500
Hg1 0.223 0.625 0.250
Sn2 0.500 0.500 0.000
Hg2 0.527 0.125 0.250
Hg3 0.375 0.473 0.750
Ba2 0.750 0.250 0.500
Hg4 0.875 0.777 0.750

***

# Ba4SnHg2

A relaxed structure of Ba4SnHg2 (PBE, Alexandria).

Calculated values
Energy of formation from the pure elements   -10.8 kcal/mol of atoms
Magnetization   0.0 Bohr magnetons per cell
Final energy   -2.22 eV per atom

Lattice parameters (Å, degrees): 5.971 5.971 10.340 73.17 73.18 60.02
Fractional coordinates of all 7 atoms:
Ba1 0.626 0.626 0.121
Hg1 0.246 0.246 0.260
Ba2 0.122 0.122 0.634
Hg2 0.754 0.754 0.740
Ba3 0.374 0.374 0.879
Sn1 0.000 0.000 0.000
Ba4 0.878 0.878 0.366

***

# BaSn4Hg2

A relaxed structure of BaSn4Hg2 (PBE, Alexandria).

Calculated values
Energy relative to the lowest polymorph listed for this composition   0.26 eV/f.u.
Energy of formation from the pure elements   -4.8 kcal/mol of atoms
Magnetization   0.0 Bohr magnetons per cell
Final energy   -2.85 eV per atom

Lattice parameters (Å, degrees): 4.975 5.225 8.640 107.60 90.00 90.00
Fractional coordinates of all 7 atoms:
Sn1 0.000 0.696 0.392
Sn2 0.000 0.304 0.608
Hg1 0.500 0.586 0.173
Ba1 0.000 0.000 0.000
Hg2 0.500 0.414 0.827
Sn3 0.500 0.185 0.370
Sn4 0.500 0.815 0.630

***

# Ba3Sn2Hg3

A relaxed structure of Ba3Sn2Hg3 (PBE, Alexandria).

Calculated values
Energy of formation from the pure elements   -12.8 kcal/mol of atoms
Magnetization   0.0 Bohr magnetons per cell
Final energy   -2.39 eV per atom

Lattice parameters (Å, degrees): 5.049 6.735 17.583 90.00 90.00 112.01
Fractional coordinates of all 16 atoms:
Ba1 0.088 0.176 0.601
Sn1 0.794 0.588 0.604
Hg1 0.379 0.758 0.534
Hg2 0.379 0.758 0.966
Sn2 0.206 0.412 0.104
Ba2 0.368 0.736 0.750
Hg3 0.651 0.301 0.750
Hg4 0.621 0.242 0.466
Sn3 0.206 0.412 0.396
Ba3 0.912 0.824 0.399
Hg5 0.349 0.699 0.250
Ba4 0.912 0.824 0.101
Hg6 0.621 0.242 0.034
Ba5 0.088 0.176 0.899
Sn4 0.794 0.588 0.896
Ba6 0.632 0.264 0.250

***

# BaSn2Hg2

A relaxed structure of BaSn2Hg2 (PBE, Alexandria).

Calculated values
Energy of formation from the pure elements   -9.0 kcal/mol of atoms
Magnetization   0.0 Bohr magnetons per cell
Final energy   -2.50 eV per atom

Lattice parameters (Å, degrees): 5.190 5.190 6.825 67.65 67.65 90.00
Fractional coordinates of all 5 atoms:
Ba1 0.000 0.000 0.000
Sn1 0.376 0.376 0.248
Hg1 0.250 0.750 0.500
Hg2 0.750 0.250 0.500
Sn2 0.624 0.624 0.752

***

# BaSn2Hg

A relaxed structure of BaSn2Hg (PBE, Alexandria).

Calculated values
Energy of formation from the pure elements   -7.6 kcal/mol of atoms
Magnetization   0.0 Bohr magnetons per cell
Final energy   -2.89 eV per atom

Lattice parameters (Å, degrees): 5.006 4.967 4.967 90.00 90.00 90.00
Fractional coordinates of all 4 atoms:
Sn1 0.000 0.000 0.500
Sn2 0.000 0.500 0.000
Hg1 0.500 0.500 0.500
Ba1 0.500 0.000 0.000

***

# Ba2SnHg5

A relaxed structure of Ba2SnHg5 (PBE, Alexandria).

Calculated values
Energy relative to the lowest polymorph listed for this composition   0.00 eV/f.u.
Energy of formation from the pure elements   -9.7 kcal/mol of atoms
Magnetization   0.0 Bohr magnetons per cell
Final energy   -1.59 eV per atom

Lattice parameters (Å, degrees): 5.319 9.724 10.197 90.00 90.00 105.87
Fractional coordinates of all 16 atoms:
Hg1 0.649 0.297 0.479
Hg2 0.407 0.815 0.250
Hg3 0.649 0.297 0.021
Hg4 0.812 0.625 0.398
Sn1 0.560 0.121 0.250
Hg5 0.351 0.703 0.979
Hg6 0.351 0.703 0.521
Hg7 0.812 0.625 0.102
Sn2 0.440 0.879 0.750
Hg8 0.593 0.185 0.750
Ba1 0.790 0.581 0.750
Hg9 0.188 0.375 0.898
Ba2 0.000 0.000 0.000
Ba3 0.000 0.000 0.500
Ba4 0.210 0.419 0.250
Hg10 0.188 0.375 0.602

***

# Ba2Sn2Hg

A relaxed structure of Ba2Sn2Hg (PBE, Alexandria).

Calculated values
Energy relative to the lowest polymorph listed for this composition   0.94 eV/f.u.
Energy of formation from the pure elements   -9.9 kcal/mol of atoms
Magnetization   0.0 Bohr magnetons per cell
Final energy   -2.86 eV per atom

Lattice parameters (Å, degrees): 9.935 9.935 4.041 90.00 90.00 90.00
Fractional coordinates of all 10 atoms:
Sn1 0.104 0.604 0.500
Sn2 0.896 0.396 0.500
Ba1 0.810 0.690 0.000
Hg1 0.500 0.500 0.000
Hg2 0.000 0.000 0.000
Ba2 0.690 0.190 0.000
Sn3 0.604 0.896 0.500
Ba3 0.190 0.310 0.000
Sn4 0.396 0.104 0.500
Ba4 0.310 0.810 0.000

***

# Ba5SnHg4

A relaxed structure of Ba5SnHg4 (PBE, Alexandria).

Calculated values
Energy of formation from the pure elements   -12.3 kcal/mol of atoms
Magnetization   0.0 Bohr magnetons per cell
Final energy   -2.01 eV per atom

Lattice parameters (Å, degrees): 4.229 4.229 20.973 90.00 90.00 90.00
Fractional coordinates of all 10 atoms:
Ba1 0.500 0.500 0.300
Hg1 0.000 0.000 0.202
Hg2 0.000 0.000 0.598
Hg3 0.000 0.000 0.798
Hg4 0.000 0.000 0.402
Ba2 0.500 0.500 0.100
Ba3 0.500 0.500 0.900
Ba4 0.500 0.500 0.500
Ba5 0.500 0.500 0.700
Sn1 0.000 0.000 0.000

***

# BaSnHg14

A relaxed structure of BaSnHg14 (PBE, Alexandria).

Calculated values
Energy of formation from the pure elements   -2.2 kcal/mol of atoms
Magnetization   0.0 Bohr magnetons per cell
Final energy   -0.73 eV per atom

Lattice parameters (Å, degrees): 12.406 9.529 9.529 96.57 67.08 67.08
Fractional coordinates of all 32 atoms:
Hg1 0.083 0.211 0.660
Hg2 0.906 0.104 0.206
Hg3 0.262 0.088 0.823
Hg4 0.481 0.549 0.855
Sn1 0.500 0.000 0.500
Hg5 0.583 0.160 0.711
Hg6 0.183 0.802 0.064
Hg7 0.238 0.677 0.412
Hg8 0.930 0.471 0.402
Hg9 0.981 0.355 0.049
Hg10 0.519 0.451 0.145
Hg11 0.070 0.529 0.598
Hg12 0.342 0.235 0.373
Hg13 0.094 0.896 0.794
Hg14 0.738 0.912 0.177
Hg15 0.817 0.198 0.936
Hg16 0.019 0.645 0.951
Sn2 0.000 0.000 0.500
Hg17 0.317 0.436 0.698
Hg18 0.683 0.564 0.302
Hg19 0.917 0.789 0.340
Hg20 0.842 0.873 0.735
Hg21 0.762 0.323 0.588
Hg22 0.430 0.902 0.971
Hg23 0.658 0.765 0.627
Ba1 0.250 0.405 0.095
Hg24 0.417 0.840 0.289
Hg25 0.570 0.098 0.029
Ba2 0.750 0.595 0.905
Hg26 0.406 0.706 0.604
Hg27 0.158 0.127 0.265
Hg28 0.594 0.294 0.396

***

# BaSn2Hg

A relaxed structure of BaSn2Hg (PBE, Alexandria).

Calculated values
Energy of formation from the pure elements   -9.8 kcal/mol of atoms
Magnetization   0.0 Bohr magnetons per cell
Final energy   -2.98 eV per atom

Lattice parameters (Å, degrees): 5.226 13.493 7.402 90.00 90.00 90.00
Fractional coordinates of all 16 atoms:
Hg1 0.250 0.346 0.002
Hg2 0.750 0.654 0.998
Sn1 0.250 0.320 0.523
Sn2 0.750 0.680 0.477
Ba1 0.250 0.565 0.743
Sn3 0.250 0.151 0.250
Ba2 0.250 0.065 0.757
Sn4 0.250 0.651 0.250
Hg3 0.250 0.846 0.498
Hg4 0.750 0.154 0.502
Ba3 0.750 0.435 0.257
Sn5 0.750 0.849 0.750
Ba4 0.750 0.935 0.243
Sn6 0.250 0.820 0.977
Sn7 0.750 0.180 0.023
Sn8 0.750 0.349 0.750

***

# Ba3Sn8Hg3

A relaxed structure of Ba3Sn8Hg3 (PBE, Alexandria).

Calculated values
Energy of formation from the pure elements   -8.4 kcal/mol of atoms
Magnetization   0.0 Bohr magnetons per cell
Final energy   -3.13 eV per atom

Lattice parameters (Å, degrees): 5.112 9.836 9.836 74.78 74.94 74.94
Fractional coordinates of all 14 atoms:
Hg1 0.000 0.824 0.176
Sn1 0.147 0.489 0.216
Sn2 0.658 0.619 0.066
Hg2 0.000 0.176 0.824
Sn3 0.853 0.784 0.511
Sn4 0.147 0.216 0.489
Ba1 0.500 0.500 0.500
Ba2 0.190 0.810 0.810
Sn5 0.342 0.381 0.934
Hg3 0.500 0.000 0.000
Ba3 0.810 0.190 0.190
Sn6 0.658 0.066 0.619
Sn7 0.853 0.511 0.784
Sn8 0.342 0.934 0.381

***

# Ba2Sn6Hg3

A relaxed structure of Ba2Sn6Hg3 (PBE, Alexandria).

Calculated values
Energy of formation from the pure elements   -6.3 kcal/mol of atoms
Magnetization   0.0 Bohr magnetons per cell
Final energy   -2.89 eV per atom

Lattice parameters (Å, degrees): 5.317 8.730 8.730 120.00 90.00 90.00
Fractional coordinates of all 11 atoms:
Sn1 0.500 0.275 0.000
Sn2 0.000 0.800 0.000
Ba1 0.000 0.333 0.667
Hg1 0.500 0.396 0.396
Sn3 0.000 0.200 0.200
Sn4 0.500 0.725 0.725
Hg2 0.500 0.000 0.604
Sn5 0.000 0.000 0.800
Hg3 0.500 0.604 0.000
Sn6 0.500 0.000 0.275
Ba2 0.000 0.667 0.333